V3PbF after structural relaxation. Source: Alexandria, functional GGA+U.

The structure in POSCAR format:
```
V3PbF
1.0
5.393 0.000 0.000
0.000 5.393 0.000
0.000 0.000 5.393
Pb V F
1 3 1
direct
0.000 0.000 0.000
0.000 0.500 0.000
0.000 0.000 0.500
0.500 0.000 0.000
0.500 0.500 0.500
```

Calculated values
* total moment: 2.00 μB per atom
* total DFT energy (no corrections): -4.28 eV/atom
* D(E_F): 0.99 states/eV per cell